1.
SiAsF3, optimized geometry, DFT PBE; crystal system = cubic; volume = 16.35 A^3/atom; SG = Pm-3m, No. 221
1.0
4.3403 0.0000 0.0000
0.0000 4.3403 0.0000
0.0000 0.0000 4.3403
F As Si
3 1 1
Direct
0.0000 0.0000 0.5000
0.0000 0.5000 0.0000
0.5000 0.0000 0.0000
0.0000 0.0000 0.0000
0.5000 0.5000 0.5000



2.
SiAsF3, optimized geometry, DFT PBE; crystal system = cubic; volume = 14.97 A^3/atom; SG = Pm-3m, No. 221
1.0
4.2146 0.0000 0.0000
0.0000 4.2146 0.0000
0.0000 0.0000 4.2146
F Si As
3 1 1
Direct
0.5000 0.0000 0.0000
0.0000 0.0000 0.5000
0.0000 0.5000 0.0000
0.0000 0.0000 0.0000
0.5000 0.5000 0.5000



Here is how they stack up, most stable first: 2, 1.